No. 1
DFT (PBE) results for a relaxed KBa2LiF6 crystal.

Properties
- Raw formation energy: -3363 meV/atom
- Volume: 17.42 A^3/atom

Unit cell a=6.045 b=6.729 c=10.426 alpha=90.00 beta=124.78 gamma=90.00
Atoms (fractional coordinates):
K: 0.000 0.000 0.000
K: 0.000 0.500 0.500
Ba: 0.226 0.084 0.746
Ba: 0.226 0.416 0.246
Ba: 0.774 0.584 0.754
Ba: 0.774 0.916 0.254
Li: 0.500 0.000 0.500
Li: 0.500 0.500 0.000
F: 0.155 0.165 0.450
F: 0.155 0.335 0.950
F: 0.271 0.705 0.430
F: 0.271 0.795 0.930
F: 0.397 0.049 0.280
F: 0.397 0.451 0.780
F: 0.603 0.549 0.220
F: 0.603 0.951 0.720
F: 0.729 0.205 0.070
F: 0.729 0.295 0.570
F: 0.845 0.665 0.050
F: 0.845 0.835 0.550

=====

No. 2
DFT (PBE) results for a relaxed K2BaLiF crystal.

Properties
- Raw formation energy: -975 meV/atom
- Volume: 39.62 A^3/atom

Unit cell a=6.070 b=6.070 c=5.377 alpha=90.00 beta=90.00 gamma=90.00
Atoms (fractional coordinates):
K: 0.000 0.500 0.000
K: 0.500 0.000 0.000
Ba: 0.000 0.000 0.500
Li: 0.500 0.500 0.500
F: 0.000 0.000 0.000